# CeNd3Er2Te6 PBE-GGA relaxed
data_CeNd3Er2Te6
_symmetry_space_group_name_H-M 'P 1'
_symmetry_Int_Tables_number 1
_cell_length_a 9.938
_cell_length_b 9.938
_cell_length_c 8.969
_cell_angle_alpha 103.37
_cell_angle_beta 103.37
_cell_angle_gamma 25.54
loop_
_symmetry_equiv_pos_as_xyz
'x,y,z'
loop_
_atom_site_label
_atom_site_type_symbol
_atom_site_fract_x
_atom_site_fract_y
_atom_site_fract_z
Ce1 Ce 0.000 0.000 0.000
Nd1 Nd 0.000 0.000 0.500
Nd2 Nd 0.338 0.338 0.167
Nd3 Nd 0.662 0.662 0.833
Er1 Er 0.335 0.335 0.670
Er2 Er 0.665 0.665 0.330
Te1 Te 0.169 0.169 0.094
Te2 Te 0.171 0.171 0.575
Te3 Te 0.495 0.495 0.748
Te4 Te 0.505 0.505 0.252
Te5 Te 0.829 0.829 0.425
Te6 Te 0.831 0.831 0.906
# - Total magnetization: 1.3 μB/f.u.
# - Final energy: -64.41 eV/cell
# - Density: 7.486 g/cm3
# - Space group: C2/m